Tb5Pm8Zr | GGA-PBE | relaxed

The final energy is -4.759 eV/atom. Its formation energy is 0.22 eV per atom.

The space group is C2 (No. 5) and the conventional cell measures 14.7602, 8.8269 and 9.4632 Å, with angles of 90.00, 129.62 and 90.00 degrees. The distinct sites, in fractional coordinates, are Tb at (0.0000, 0.0000, 0.0000), Tb at (0.0411, 0.3351, 0.8623), Tb at (0.1029, 0.6527, 0.2466), Pm at (0.0462, 0.9865, 0.7086), Pm at (0.1630, 0.3730, 0.6312), Pm at (0.1904, 0.6577, 0.9553), Pm at (0.2504, 0.3063, 0.3324) and Zr at (0.0000, 0.6699, 0.5000).

Tb2PmZr | GGA-PBE | relaxed

The final energy is -5.553 eV/atom. Its formation energy is 0.09 eV per atom. As for the offset from the most stable computed form: 0 kJ/mol of formula units.

The space group is R-3m (No. 166, hexagonal axes) and the conventional cell measures 3.4668, 3.4668 and 34.2574 Å, with angles of 90.00, 90.00 and 120.00 degrees. The distinct sites, in fractional coordinates, are Tb at (0.0000, 0.0000, 0.2442), Pm at (0.0000, 0.0000, 0.0000) and Zr at (0.0000, 0.0000, 0.5000).

Tb6Pm2Zr | GGA-PBE | relaxed

The final energy is -4.987 eV/atom. Its formation energy is 0.11 eV per atom.

The space group is C2/m (No. 12) and the conventional cell measures 16.7808, 9.6565 and 3.4355 Å, with angles of 90.00, 90.23 and 90.00 degrees. The distinct sites, in fractional coordinates, are Tb at (0.0000, 0.1753, 0.0000), Tb at (0.1624, 0.3374, 0.9998), Pm at (0.1667, 0.0000, 0.5001) and Zr at (0.0000, 0.5000, 0.5000).

Tb2PmZr | GGA-PBE | relaxed

The final energy is -5.464 eV/atom. Its formation energy is 0.18 eV per atom. As for the offset from the most stable computed form: 34 kJ/mol of formula units.

The space group is P4/mmm (No. 123) and the conventional cell measures 4.0386, 4.0386 and 7.3418 Å, with angles of 90.00, 90.00 and 90.00 degrees. The distinct sites, in fractional coordinates, are Tb at (0.0000, 0.0000, 0.2207), Pm at (0.5000, 0.5000, 0.5000) and Zr at (0.5000, 0.5000, 0.0000).

TbPmZr | GGA-PBE | relaxed

The final energy is -5.839 eV/atom. Its formation energy is 0.14 eV per atom. As for the offset from the most stable computed form: 11 kJ/mol of formula units.

The space group is P2_1/m (No. 11) and the conventional cell measures 3.3878, 4.9137 and 10.5723 Å, with angles of 90.00, 99.03 and 90.00 degrees. The distinct sites, in fractional coordinates, are Tb at (0.1381, 0.2500, 0.2692), Pm at (0.4440, 0.2500, 0.8993) and Zr at (0.2835, 0.2500, 0.5705).

TbPm2Zr | GGA-PBE | relaxed

The final energy is -5.555 eV/atom. Its formation energy is 0.11 eV per atom. As for the offset from the most stable computed form: 0 kJ/mol of formula units.

The space group is R3m (No. 160, hexagonal axes) and the conventional cell measures 3.5029, 3.5029 and 34.2167 Å, with angles of 90.00, 90.00 and 120.00 degrees. The distinct sites, in fractional coordinates, are Tb at (0.0000, 0.0000, 0.0000), Pm at (0.0000, 0.0000, 0.5793), Pm at (0.0000, 0.0000, 0.7556) and Zr at (0.0000, 0.0000, 0.1677).